Compound: AcTb8Pr5
Source: Alexandria via LeMat-Bulk
Functional: PBE
Structure: optimized geometry

Lattice parameters (Å, degrees): 9.043 9.043 17.066 117.56 117.56 23.02
Element x y z (fractional)
Ac  0.000  0.000  0.000
Tb  0.079  0.079  0.722
Tb  0.284  0.284  0.355
Tb  0.352  0.352  0.062
Tb  0.420  0.420  0.774
Tb  0.579  0.579  0.226
Tb  0.648  0.648  0.938
Tb  0.716  0.716  0.645
Tb  0.920  0.920  0.279
Pr  0.145  0.145  0.441
Pr  0.217  0.217  0.146
Pr  0.500  0.500  0.500
Pr  0.782  0.782  0.854
Pr  0.855  0.855  0.559

Results
The total energy is -4.595 eV/atom. For the formation energy, the calculation gives 0.0515 eV/atom.